Material: LiAl2V4O8
Method: DFT, PBE+U
State: optimized geometry

## Properties
DFT total energy = -7.370 eV per atom
energy above the lowest structure with this stoichiometry = 0 meV per atom

The structure in POSCAR format:
```
LiAl2V4O8
1.0
5.890 0.000 0.000
-1.401 5.820 0.000
-1.560 -3.432 4.690
Li Al V O
1 2 4 8
Direct
0.000 0.000 0.000 Li
0.144 0.419 0.721 Al
0.583 0.464 0.610 Al
0.051 0.695 0.340 V
0.532 0.419 0.099 V
0.569 0.971 0.114 V
0.587 0.968 0.616 V
0.300 0.644 0.111 O
0.308 0.184 0.648 O
0.327 0.652 0.655 O
0.361 0.203 0.222 O
0.755 0.694 0.015 O
0.783 0.710 0.551 O
0.794 0.240 0.058 O
0.801 0.261 0.565 O
```